1.
Below is a relaxed AcBi2As crystal, with properties calculated at the PBE level.

## Properties
ΔE to the lowest computed polymorph, meV per atom: 297.9
Mass density, g/cm3: 9.1
Calculated total energy, eV for the cell shown: -17.5
Calculated volume, Å³/f.u.: 132
DFT formation energy, eV per atom: -0.2437
SG: R-3m (166)

Cell: 6.180 6.180 6.180 Å, 51.06 51.06 51.06°
Fractional coordinates of all 4 atoms:
Ac1 0.000 0.000 0.000
Bi1 0.214 0.214 0.214
Bi2 0.786 0.786 0.786
As1 0.500 0.500 0.500


2.
Below is a relaxed Al2TcBr crystal, with properties calculated at the PBE level.

## Properties
ΔE to the lowest computed polymorph, meV per atom: 729.9
Mass density, g/cm3: 5.7
Formation energy without anion corrections, kJ per mole of atoms: 48.7
Calculated total energy, eV for the cell shown: -17.5
Calculated volume, Å³/f.u.: 68
SG: Pmmm (47)

Cell: 2.964 4.723 4.850 Å, 90.00 90.00 90.00°
Fractional coordinates of all 4 atoms:
Al1 0.000 0.000 0.000
Al2 0.500 0.500 0.000
Tc1 0.000 0.500 0.500
Br1 0.500 0.000 0.500


3.
Below is a relaxed Li6ZnAu2 crystal, with properties calculated at the PBE level.

## Properties
ΔE to the lowest computed polymorph, meV per atom: 0.0
Mass density, g/cm3: 5.8
Calculated total energy, eV for the cell shown: -22.4
Calculated volume, Å³/f.u.: 145
DFT formation energy, eV per atom: -0.3429
SG: C2/m (12)

Cell: 6.180 6.180 6.516 Å, 107.26 107.26 37.74°
Fractional coordinates of all 9 atoms:
Li1 0.099 0.099 0.156
Li2 0.217 0.217 0.838
Li3 0.348 0.348 0.500
Li4 0.652 0.652 0.500
Li5 0.783 0.783 0.162
Li6 0.901 0.901 0.844
Zn1 0.000 0.000 0.500
Au1 0.438 0.438 0.166
Au2 0.562 0.562 0.834


4.
Below is a relaxed CdHgPb6 crystal, with properties calculated at the PBE level.

## Properties
ΔE to the lowest computed polymorph, meV per atom: 0.0
Mass density, g/cm3: 10.9
Calculated total energy, eV for the cell shown: -23.3
Calculated volume, Å³/f.u.: 238
DFT formation energy, eV per atom: 0.0191
SG: P4/mmm (123)

Cell: 4.907 4.907 9.872 Å, 90.00 90.00 90.00°
Fractional coordinates of all 8 atoms:
Cd1 0.000 0.000 0.000
Hg1 0.000 0.000 0.500
Pb1 0.000 0.500 0.248
Pb2 0.000 0.500 0.752
Pb3 0.500 0.000 0.248
Pb4 0.500 0.000 0.752
Pb5 0.500 0.500 0.000
Pb6 0.500 0.500 0.500